# 1
First-principles (PBE-GGA) data for TbPrBi2S2 after structural relaxation, as listed in OQMD.

POSCAR file:
```
TbPrBi2S2
1.0
4.252 0.000 0.000
0.000 4.252 0.000
0.000 0.000 8.899
Tb Pr Bi S
1 1 2 2
Cartesian
0.000 0.000 0.000 Tb
2.126 2.126 3.282 Pr
0.000 2.126 6.122 Bi
2.126 0.000 6.122 Bi
0.000 0.000 2.717 S
2.126 2.126 0.452 S
```

Total magnetization   0.001 μB/atom
Total DFT energy (no corrections)   -5.57 eV per atom

---

# 2
First-principles (PBE-GGA) data for Pr3BiSb2 after structural relaxation, as listed in OQMD.

POSCAR file:
```
Pr3BiSb2
1.0
7.244 -3.239 0.000
7.244 3.239 0.000
-2.895 0.000 8.688
Pr Bi Sb
6 2 4
Cartesian
6.520 3.236 2.172 Pr
5.073 -3.236 6.516 Pr
3.578 -0.001 3.605 Pr
2.131 0.001 7.949 Pr
9.463 -0.001 0.739 Pr
8.015 0.001 5.083 Pr
6.520 -0.003 2.172 Bi
5.073 0.003 6.516 Bi
2.161 -0.001 0.720 Sb
0.713 0.001 5.064 Sb
10.880 -0.001 3.624 Sb
9.433 0.001 7.968 Sb
```

Total magnetization   0.000 μB/atom
Total DFT energy (no corrections)   -5.56 eV per atom

---

# 3
First-principles (PBE-GGA) data for PrBiSb after structural relaxation, as listed in OQMD.

POSCAR file:
```
PrBiSb
1.0
0.000 3.746 3.746
3.746 0.000 3.746
3.746 3.746 0.000
Pr Bi Sb
1 1 1
Cartesian
0.000 0.000 0.000 Pr
3.746 3.746 3.746 Bi
5.619 5.619 5.619 Sb
```

Polymorph energy (0 for the lowest one)   0 meV per atom
Total magnetization   0.003 μB/atom

---

# 4
First-principles (PBE-GGA) data for Pr2Sc2BiSb after structural relaxation, as listed in OQMD.

POSCAR file:
```
Pr2Sc2BiSb
1.0
-2.264 2.264 8.398
2.264 -2.264 8.398
2.264 2.264 -8.398
Pr Sc Bi Sb
2 2 1 1
Cartesian
0.000 0.000 0.000 Pr
0.000 0.000 5.883 Pr
2.264 0.000 3.029 Sc
0.000 2.264 3.029 Sc
0.000 0.000 9.256 Bi
0.000 0.000 13.480 Sb
```

Total magnetization   0.147 μB/atom
Total DFT energy (no corrections)   -5.83 eV per atom

---

# 5
First-principles (PBE-GGA) data for Pr2BiSbTe2 after structural relaxation, as listed in OQMD.

POSCAR file:
```
Pr2BiSbTe2
1.0
4.423 0.000 0.000
0.000 4.423 0.000
0.000 0.000 9.634
Pr Bi Sb Te
2 1 1 2
Cartesian
0.000 2.212 2.125 Pr
2.212 0.000 7.509 Pr
0.000 0.000 4.817 Bi
2.212 2.212 4.817 Sb
0.000 2.212 8.430 Te
2.212 0.000 1.204 Te
```

Total magnetization   0.001 μB/atom
Total DFT energy (no corrections)   -5.15 eV per atom

---

# 6
First-principles (PBE-GGA) data for PrScBi after structural relaxation, as listed in OQMD.

POSCAR file:
```
PrScBi
1.0
0.000 3.752 3.752
3.752 0.000 3.752
3.752 3.752 0.000
Pr Sc Bi
1 1 1
Cartesian
0.000 0.000 0.000 Pr
1.876 1.876 1.876 Sc
5.628 5.628 5.628 Bi
```

Total magnetization   0.669 μB/atom
Total DFT energy (no corrections)   -4.81 eV per atom

---

# 7
First-principles (PBE-GGA) data for PrScBi after structural relaxation, as listed in OQMD.

POSCAR file:
```
PrScBi
1.0
0.000 3.642 3.642
3.642 0.000 3.642
3.642 3.642 0.000
Pr Sc Bi
1 1 1
Cartesian
0.000 0.000 0.000 Pr
3.642 3.642 3.642 Sc
1.821 1.821 1.821 Bi
```

Total magnetization   0.262 μB/atom
Total DFT energy (no corrections)   -5.35 eV per atom

---

# 8
First-principles (PBE-GGA) data for PrSmSc2Bi2 after structural relaxation, as listed in OQMD.

POSCAR file:
```
PrSmSc2Bi2
1.0
-2.253 2.253 8.402
2.253 -2.253 8.402
2.253 2.253 -8.402
Pr Sm Sc Bi
1 1 2 2
Cartesian
0.000 0.000 0.000 Pr
0.000 0.000 5.902 Sm
2.253 0.000 2.969 Sc
0.000 2.253 2.969 Sc
0.000 0.000 9.229 Bi
0.000 0.000 13.495 Bi
```

Total magnetization   0.154 μB/atom
Total DFT energy (no corrections)   -5.70 eV per atom

---

- total magnetization of number 8 (PrSmSc2Bi2)?
  0.154 μB/atom

---

- Which value of total magnetization does entry 7 give?
  0.262 μB/atom